This record from Alexandria describes a relaxed MgCr2Hg crystal. The functional is PBE.

Lattice parameters (Å, degrees): 3.858 4.042 4.468 90.00 90.00 90.00
Space group Pmmm (No. 47)
Inequivalent atoms, fractional coordinates:
Mg  0.000  0.000  0.000
Cr  0.000  0.500  0.500
Cr  0.500  0.000  0.500
Hg  0.500  0.500  0.000

Results
Offset from the most stable computed form = 121.9 meV per atom
Total magnetic moment = 0.122 Bohr magnetons per cell